No. 1
A relaxed Zr3CdC crystal. Source: OQMD, functional PBE-GGA.

Output
E above lowest polymorph in meV per atom: 0
Crystal system: orthorhombic
Space-group type: No. 63

Unit cell a=6.3211 b=6.3211 c=9.2936 alpha=90.00 beta=90.00 gamma=148.97
Fractional coordinates of all 10 atoms:
C  0.0000  0.0000  0.5000
C  0.0000  0.0000  0.0000
Zr  0.6227  0.3773  0.4596
Zr  0.0350  0.9650  0.7500
Zr  0.3773  0.6227  0.9596
Zr  0.6227  0.3773  0.0404
Zr  0.9650  0.0350  0.2500
Zr  0.3773  0.6227  0.5404
Cd  0.7443  0.2557  0.7500
Cd  0.2557  0.7443  0.2500

No. 2
A relaxed LiPaPb crystal. Source: OQMD, functional PBE-GGA.

Output
E above lowest polymorph in meV per atom: 0
Crystal system: cubic
Space-group type: No. 216

Unit cell a=5.0464 b=5.0464 c=5.0464 alpha=60.00 beta=60.00 gamma=60.00
Site moments in Bohr magnetons follow the coordinates.
Fractional coordinates of all 3 atoms:
Li  0.5000  0.5000  0.5000  0.01
Pb  0.2500  0.2500  0.2500  -0.01
Pa  0.0000  0.0000  0.0000  1.48

No. 3
A relaxed Dy2Sb5 crystal. Source: OQMD, functional PBE-GGA.

Output
Crystal system: monoclinic
VASP energy in Ry per atom: -0.3605
Space-group type: No. 11

Unit cell a=13.2119 b=4.2107 c=14.6764 alpha=90.00 beta=102.06 gamma=90.00
Fractional coordinates of all 28 atoms:
Sb  0.8587  0.2500  0.7789
Sb  0.1520  0.7500  0.8283
Sb  0.5741  0.2500  0.5509
Sb  0.5804  0.2500  0.9755
Sb  0.4255  0.7500  0.7344
Sb  0.2780  0.2500  0.0622
Sb  0.8610  0.7500  0.3223
Sb  0.1390  0.2500  0.6777
Sb  0.8480  0.2500  0.1717
Sb  0.0292  0.2500  0.0904
Sb  0.1413  0.7500  0.2211
Sb  0.9708  0.7500  0.9096
Sb  0.2835  0.2500  0.3468
Sb  0.5745  0.2500  0.2656
Sb  0.7165  0.7500  0.6532
Sb  0.4196  0.7500  0.0245
Sb  0.4259  0.7500  0.4491
Sb  0.7220  0.7500  0.9378
Sb  0.8559  0.2500  0.4819
Sb  0.1441  0.7500  0.5181
Dy  0.6078  0.2500  0.7705
Dy  0.9532  0.7500  0.6381
Dy  0.6684  0.7500  0.4224
Dy  0.0468  0.2500  0.3619
Dy  0.3316  0.2500  0.5776
Dy  0.6616  0.7500  0.1451
Dy  0.3384  0.2500  0.8549
Dy  0.3922  0.7500  0.2295

No. 4
A relaxed GaCoPt2 crystal. Source: OQMD, functional PBE-GGA.

Output
Crystal system: cubic
VASP energy in Ry per atom: -0.4199
Space-group type: No. 216

Unit cell a=4.3342 b=4.3342 c=4.3342 alpha=60.00 beta=60.00 gamma=60.00
Site moments in Bohr magnetons follow the coordinates.
Fractional coordinates of all 4 atoms:
Pt  0.7500  0.7500  0.7500  0.10
Pt  0.0000  0.0000  0.0000  0.12
Co  0.2500  0.2500  0.2500  1.56
Ga  0.5000  0.5000  0.5000  -0.03